VASP calculation (PBE-GGA) on an optimized crystal structure of YHo2Os.

## Properties
Distance to the lowest polymorph of the same formula: 0.0000 eV per atom
Magnetic moment: 0.0 μB per cell
Symmetry: Pnma (62)
Fermi-level density of states: 0.77 states/eV per atom
ΔE_f: -0.2651 eV per atom
Calculated density: 9.6 g/cm³

Unit cell a=7.4141 b=9.0095 c=6.3016 alpha=90.00 beta=90.00 gamma=90.00
Closest atoms and distances in Å follow each position.
Atoms (fractional coordinates):
Y: 0.0384 0.2500 0.1265  2 Os 2.77-2.87
Y: 0.4616 0.7500 0.6265  2 Os 2.77-2.87
Y: 0.5384 0.2500 0.3735  2 Os 2.77-2.87
Y: 0.9616 0.7500 0.8735  2 Os 2.77-2.87
Ho: 0.1744 0.0626 0.6655  3 Os 2.85-3.14
Ho: 0.1744 0.4374 0.6655  3 Os 2.85-3.14
Ho: 0.3256 0.5626 0.1655  3 Os 2.85-3.14
Ho: 0.3256 0.9374 0.1655  3 Os 2.85-3.14
Ho: 0.6744 0.0626 0.8345  3 Os 2.85-3.14
Ho: 0.6744 0.4374 0.8345  3 Os 2.85-3.14
Ho: 0.8256 0.5626 0.3345  3 Os 2.85-3.14
Ho: 0.8256 0.9374 0.3345  3 Os 2.85-3.14
Os: 0.1168 0.7500 0.4568  2 Y 2.77-2.87, 4 Ho 2.85-2.94
Os: 0.3832 0.2500 0.9568  2 Y 2.77-2.87, 4 Ho 2.85-2.94
Os: 0.6168 0.7500 0.0432  2 Y 2.77-2.87, 4 Ho 2.85-2.94
Os: 0.8832 0.2500 0.5432  2 Y 2.77-2.87, 4 Ho 2.85-2.94